VASP calculation (PBE-GGA) on crystalline CaReF2 at its relaxed geometry.

Cell lengths 4.5837, 4.5837, 4.5837 Å; angles 60.00, 60.00, 60.00 degrees
Closest atoms and distances in Å follow each position.
Element x y z (fractional)
Ca: 0.0000 0.0000 0.0000  8 F 2.81
F: 0.2500 0.2500 0.2500  4 Re 2.81, 4 Ca 2.81
F: 0.7500 0.7500 0.7500  4 Re 2.81, 4 Ca 2.81
Re: 0.5000 0.5000 0.5000  8 F 2.81

Calculated values
Its symmetry is No. 225. The density of states at the Fermi level is 0.99 states/eV per atom. The total magnetization is 5.00 μB per formula unit. The energy above the most stable polymorph in this dataset comes out at 238.0 meV/atom. Its energy relative to the elements, uncorrected is -1.97 eV per formula unit. For the calculated volume, the calculation gives 68.1 Å³/cell.


VASP calculation (PBE-GGA) on crystalline Pm12Dy5Tm at its relaxed geometry.

Cell lengths 11.1750, 10.5909, 5.9789 Å; angles 90.00, 90.01, 58.16 degrees
Closest atoms and distances in Å follow each position.
Element x y z (fractional)
Dy: 0.8316 0.3369 0.5000  10 Pm 3.47-3.77
Dy: 0.3308 0.3385 0.0000  10 Pm 3.46-3.77
Dy: 0.5000 0.0000 0.5000  10 Pm 3.45-3.80
Dy: 0.1684 0.6631 0.5000  10 Pm 3.47-3.77
Dy: 0.6692 0.6615 0.0000  10 Pm 3.46-3.77
Pm: 0.6728 0.3285 0.0067  4 Dy 3.47-3.77, 1 Tm 3.47, 5 Pm 3.56-3.65
Pm: 0.9988 0.3285 0.9933  4 Dy 3.47-3.77, 1 Tm 3.47, 5 Pm 3.56-3.65
Pm: 0.8403 0.0000 0.4936  2 Tm 3.45-3.51, 3 Dy 3.52-3.80, 5 Pm 3.57-3.61
Pm: 0.5025 0.6694 0.4931  5 Dy 3.46-3.77, 5 Pm 3.57-3.64
Pm: 0.1597 0.0000 0.5064  2 Tm 3.45-3.51, 3 Dy 3.52-3.80, 5 Pm 3.57-3.61
Pm: 0.6592 0.0000 0.9937  4 Dy 3.45-3.53, 5 Pm 3.56-3.61, 1 Tm 3.81
Pm: 0.3272 0.6715 0.9933  4 Dy 3.47-3.77, 1 Tm 3.47, 5 Pm 3.56-3.65
Pm: 0.4975 0.3306 0.5069  5 Dy 3.46-3.77, 5 Pm 3.57-3.64
Pm: 0.3408 0.0000 0.0063  4 Dy 3.45-3.53, 5 Pm 3.56-3.61, 1 Tm 3.81
Pm: 0.1720 0.3306 0.4931  5 Dy 3.46-3.77, 5 Pm 3.57-3.64
Pm: 0.0013 0.6715 0.0067  4 Dy 3.47-3.77, 1 Tm 3.47, 5 Pm 3.56-3.65
Pm: 0.8280 0.6694 0.5069  5 Dy 3.46-3.77, 5 Pm 3.57-3.64
Tm: 0.0000 0.0000 0.0000  10 Pm 3.45-3.81

Calculated values
The formation enthalpy at 0 K comes out at 0.11 eV/atom. Its symmetry is No. 12. The density of states at the Fermi level is 2.03 states/eV per atom. The total magnetization is 0.00 μB per formula unit. For the calculated volume, the calculation gives 601.1 Å³/cell.


VASP calculation (PBE-GGA) on crystalline Sm3Dy3Y at its relaxed geometry.

Cell lengths 5.7390, 9.6285, 9.6281 Å; angles 119.99, 90.00, 90.00 degrees
Closest atoms and distances in Å follow each position.
Element x y z (fractional)
Sm: 0.2500 0.2401 0.1941  5 Dy 3.54-3.66, 6 Sm 3.57-3.68, 1 Y 3.63
Sm: 0.2500 0.9540 0.7601  5 Dy 3.55-3.66, 6 Sm 3.57-3.68, 1 Y 3.63
Sm: 0.7500 0.0460 0.2399  5 Dy 3.55-3.66, 6 Sm 3.57-3.68, 1 Y 3.63
Sm: 0.7500 0.7599 0.8059  5 Dy 3.54-3.66, 6 Sm 3.57-3.68, 1 Y 3.63
Sm: 0.2500 0.8060 0.0460  5 Dy 3.54-3.66, 6 Sm 3.57-3.68, 1 Y 3.63
Sm: 0.7500 0.1940 0.9540  5 Dy 3.54-3.66, 6 Sm 3.57-3.68, 1 Y 3.63
Dy: 0.2500 0.0944 0.4763  5 Sm 3.55-3.66, 4 Dy 3.55-3.65, 3 Y 3.56-3.63
Dy: 0.2500 0.3820 0.9058  5 Sm 3.54-3.66, 4 Dy 3.55-3.65, 3 Y 3.56-3.63
Dy: 0.7500 0.4763 0.3819  5 Sm 3.54-3.66, 4 Dy 3.55-3.65, 3 Y 3.56-3.63
Dy: 0.7500 0.9056 0.5237  5 Sm 3.55-3.66, 4 Dy 3.55-3.65, 3 Y 3.56-3.63
Dy: 0.7500 0.6180 0.0942  5 Sm 3.54-3.66, 4 Dy 3.55-3.65, 3 Y 3.56-3.63
Dy: 0.2500 0.5237 0.6181  5 Sm 3.54-3.66, 4 Dy 3.55-3.65, 3 Y 3.56-3.63
Y: 0.2500 0.6667 0.3333  9 Dy 3.56-3.63, 3 Sm 3.63
Y: 0.7500 0.3333 0.6667  9 Dy 3.56-3.63, 3 Sm 3.63

Calculated values
The formation enthalpy at 0 K comes out at 0.02 eV/atom. Its symmetry is No. 176. The density of states at the Fermi level is 1.88 states/eV per atom. The total magnetization is 0.00 μB per formula unit. The energy above the most stable polymorph in this dataset comes out at 0.0 meV/atom. For the calculated volume, the calculation gives 460.8 Å³/cell.


VASP calculation (PBE-GGA) on crystalline TbSi2Ni4 at its relaxed geometry.

Cell lengths 3.9289, 3.9289, 7.8120 Å; angles 75.44, 75.44, 60.00 degrees
Closest atoms and distances in Å follow each position.
Element x y z (fractional)
Ni: 0.4228 0.4228 0.7315  3 Si 2.27, 3 Ni 2.51
Ni: 0.8627 0.8627 0.4120  4 Si 2.28-2.47, 3 Ni 2.51
Ni: 0.5772 0.5772 0.2685  3 Si 2.27, 3 Ni 2.51
Ni: 0.1373 0.1373 0.5880  4 Si 2.28-2.47, 3 Ni 2.51
Tb: 0.0000 0.0000 0.0000  8 Ni 3.03-3.08, 6 Si 3.10
Si: 0.2391 0.2391 0.2828  7 Ni 2.27-2.47
Si: 0.7609 0.7609 0.7172  7 Ni 2.27-2.47

Calculated values
Its symmetry is No. 166. The density of states at the Fermi level is 0.56 states/eV per atom. The total magnetization is 0.00 μB per formula unit. The energy above the most stable polymorph in this dataset comes out at 0.0 meV/atom. Its energy relative to the elements, uncorrected is -4.30 eV per formula unit. For the calculated volume, the calculation gives 99.9 Å³/cell.


VASP calculation (PBE-GGA) on crystalline Ce6AgGe3 at its relaxed geometry.

Cell lengths 7.4772, 8.2054, 8.7479 Å; angles 90.00, 92.59, 90.00 degrees
Closest atoms and distances in Å follow each position.
Element x y z (fractional)
Ce: 0.7538 0.8849 0.2561  3 Ge 2.91-3.00, 1 Ag 3.11
Ce: 0.3279 0.8306 0.4173  4 Ge 2.94-3.19, 1 Ce 3.03, 1 Ag 3.07
Ce: 0.6721 0.1694 0.5827  4 Ge 2.94-3.19, 1 Ce 3.03, 1 Ag 3.07
Ce: 0.3549 0.8222 0.0726  3 Ge 2.94-3.21, 1 Ce 3.03, 1 Ag 3.07
Ce: 0.1451 0.3222 0.4274  3 Ge 2.94-3.21, 1 Ce 3.03, 1 Ag 3.07
Ce: 0.6451 0.1778 0.9274  3 Ge 2.94-3.21, 1 Ce 3.03, 1 Ag 3.07
Ce: 0.2462 0.1151 0.7439  3 Ge 2.91-3.00, 1 Ag 3.11
Ce: 0.7462 0.3849 0.2439  3 Ge 2.91-3.00, 1 Ag 3.11
Ce: 0.2538 0.6151 0.7561  3 Ge 2.91-3.00, 1 Ag 3.11
Ce: 0.8549 0.6778 0.5726  3 Ge 2.94-3.21, 1 Ce 3.03, 1 Ag 3.07
Ce: 0.1721 0.3306 0.0827  4 Ge 2.94-3.19, 1 Ce 3.03, 1 Ag 3.07
Ce: 0.8279 0.6694 0.9173  4 Ge 2.94-3.19, 1 Ce 3.03, 1 Ag 3.07
Ge: 0.5000 0.5000 0.0000  6 Ce 2.91-2.94
Ge: 0.4578 0.1319 0.2613  8 Ce 3.00-3.32
Ge: 0.9578 0.3681 0.7613  8 Ce 3.00-3.32
Ge: 0.5422 0.8681 0.7387  8 Ce 3.00-3.32
Ge: 0.0000 0.0000 0.5000  6 Ce 2.91-2.94
Ge: 0.0422 0.6319 0.2387  8 Ce 3.00-3.32
Ag: 0.0000 0.0000 0.0000  6 Ce 3.07-3.11
Ag: 0.5000 0.5000 0.5000  6 Ce 3.07-3.11

Calculated values
The formation enthalpy at 0 K comes out at -0.31 eV/atom. Its symmetry is No. 14. The density of states at the Fermi level is 2.93 states/eV per atom. The total magnetization is 5.42 μB per formula unit. For the calculated volume, the calculation gives 536.2 Å³/cell.


VASP calculation (PBE-GGA) on crystalline PmPr2Cd6 at its relaxed geometry.

Cell lengths 3.4740, 8.8267, 8.8267 Å; angles 120.00, 90.00, 90.00 degrees
Closest atoms and distances in Å follow each position.
Element x y z (fractional)
Cd: 0.5000 0.3320 0.0000  3 Cd 2.93-2.97
Cd: 0.5000 0.0000 0.6680  3 Cd 2.93-2.97
Cd: 0.5000 0.3320 0.3320  3 Cd 2.93-2.97
Cd: 0.5000 0.6680 0.0000  3 Cd 2.93-2.97
Cd: 0.5000 0.0000 0.3320  3 Cd 2.93-2.97
Cd: 0.5000 0.6680 0.6680  3 Cd 2.93-2.97
Pr: 0.0000 0.6667 0.3333  12 Cd 3.42, 2 Pr 3.47
Pr: 0.0000 0.3333 0.6667  12 Cd 3.42, 2 Pr 3.47
Pm: 0.0000 0.0000 0.0000  12 Cd 3.41, 2 Pm 3.47

Calculated values
The formation enthalpy at 0 K comes out at -0.35 eV/atom. Its symmetry is No. 191. The density of states at the Fermi level is 0.88 states/eV per atom. The total magnetization is 0.41 μB per formula unit. The energy above the most stable polymorph in this dataset comes out at 0.0 meV/atom. For the calculated volume, the calculation gives 234.4 Å³/cell.